Record 1
The following is a DFT calculation (PBE) of crystalline SmY7Ho4 at its relaxed geometry.

Properties
Energy of formation from the pure elements   291 meV per atom
Excess energy over the best structure of this formula in the dataset   0.203 eV/atom
Raw total energy   -5.399 eV per atom

a b c (Å): 6.709 6.709 12.693
angles (deg): 114.62 114.62 51.81
Element x y z (fractional)
Sm  0.000  0.000  0.000
Y  0.059  0.059  0.325
Y  0.211  0.211  0.923
Y  0.365  0.365  0.497
Y  0.500  0.500  0.000
Y  0.635  0.635  0.503
Y  0.789  0.789  0.077
Y  0.941  0.941  0.675
Ho  0.248  0.248  0.683
Ho  0.364  0.364  0.225
Ho  0.636  0.636  0.775
Ho  0.752  0.752  0.317

Record 2
The following is a DFT calculation (PBE) of crystalline Sm2Y2Ho7 at its relaxed geometry.

Properties
Energy of formation from the pure elements   158 meV per atom
Excess energy over the best structure of this formula in the dataset   0.016 eV/atom
Raw total energy   -4.789 eV per atom

a b c (Å): 8.024 8.024 6.044
angles (deg): 106.36 106.36 90.64
Element x y z (fractional)
Sm  0.234  0.234  0.088
Sm  0.766  0.766  0.912
Y  0.216  0.784  0.000
Y  0.784  0.216  0.000
Ho  0.000  0.000  0.500
Ho  0.061  0.591  0.326
Ho  0.409  0.939  0.674
Ho  0.412  0.412  0.697
Ho  0.588  0.588  0.303
Ho  0.591  0.061  0.326
Ho  0.939  0.409  0.674

Record 3
The following is a DFT calculation (PBE) of crystalline Sm2Y7Ho at its relaxed geometry.

Properties
Energy of formation from the pure elements   206 meV per atom
Excess energy over the best structure of this formula in the dataset   0.000 eV/atom
Raw total energy   -5.720 eV per atom

a b c (Å): 15.043 15.043 3.466
angles (deg): 90.00 90.00 155.05
Element x y z (fractional)
Sm  0.207  0.793  0.000
Sm  0.793  0.207  0.000
Y  0.144  0.341  0.000
Y  0.312  0.688  0.500
Y  0.341  0.144  0.000
Y  0.500  0.500  0.000
Y  0.659  0.856  0.000
Y  0.688  0.312  0.500
Y  0.856  0.659  0.000
Ho  0.000  0.000  0.500

Record 4
The following is a DFT calculation (PBE) of crystalline Sm8YHo4 at its relaxed geometry.

Properties
Energy of formation from the pure elements   204 meV per atom
Raw total energy   -4.606 eV per atom

a b c (Å): 10.324 10.324 10.324
angles (deg): 41.29 41.29 41.29
Element x y z (fractional)
Sm  0.202  0.752  0.752
Sm  0.214  0.214  0.214
Sm  0.248  0.248  0.798
Sm  0.248  0.798  0.248
Sm  0.752  0.202  0.752
Sm  0.752  0.752  0.202
Sm  0.786  0.786  0.786
Sm  0.798  0.248  0.248
Y  0.500  0.500  0.500
Ho  0.000  0.000  0.000
Ho  0.000  0.500  0.500
Ho  0.500  0.000  0.500
Ho  0.500  0.500  0.000

Record 5
The following is a DFT calculation (PBE) of crystalline Sm4Y2Ho5 at its relaxed geometry.

Properties
Energy of formation from the pure elements   103 meV per atom
Excess energy over the best structure of this formula in the dataset   0.085 eV/atom
Raw total energy   -4.869 eV per atom

a b c (Å): 10.008 10.008 6.577
angles (deg): 91.36 91.36 32.81
Element x y z (fractional)
Sm  0.021  0.021  0.285
Sm  0.304  0.304  0.927
Sm  0.696  0.696  0.073
Sm  0.979  0.979  0.715
Y  0.402  0.402  0.448
Y  0.598  0.598  0.552
Ho  0.130  0.130  0.894
Ho  0.208  0.208  0.402
Ho  0.500  0.500  0.000
Ho  0.792  0.792  0.598
Ho  0.870  0.870  0.106

Record 6
The following is a DFT calculation (PBE) of crystalline Sm5Y12Ho2 at its relaxed geometry.

Properties
Energy of formation from the pure elements   117 meV per atom
Excess energy over the best structure of this formula in the dataset   0.060 eV/atom
Raw total energy   -5.689 eV per atom

a b c (Å): 9.092 9.092 8.679
angles (deg): 91.75 91.75 61.99
Element x y z (fractional)
Sm  0.000  0.000  0.000
Sm  0.230  0.230  0.071
Sm  0.295  0.295  0.480
Sm  0.705  0.705  0.520
Sm  0.770  0.770  0.929
Y  0.031  0.672  0.263
Y  0.074  0.074  0.374
Y  0.180  0.562  0.832
Y  0.328  0.969  0.737
Y  0.438  0.820  0.168
Y  0.443  0.443  0.166
Y  0.557  0.557  0.834
Y  0.562  0.180  0.832
Y  0.672  0.031  0.263
Y  0.820  0.438  0.168
Y  0.926  0.926  0.626
Y  0.969  0.328  0.737
Ho  0.328  0.672  0.500
Ho  0.672  0.328  0.500

Record 7
The following is a DFT calculation (PBE) of crystalline SmY2Ho at its relaxed geometry.

Properties
Energy of formation from the pure elements   23 meV per atom
Excess energy over the best structure of this formula in the dataset   0.013 eV/atom
Raw total energy   -5.533 eV per atom

a b c (Å): 3.572 3.572 10.121
angles (deg): 90.00 90.00 90.00
Element x y z (fractional)
Sm  0.000  0.000  0.000
Y  0.500  0.500  0.253
Y  0.500  0.500  0.747
Ho  0.000  0.000  0.500

Record 8
The following is a DFT calculation (PBE) of crystalline Sm2Y12Ho5 at its relaxed geometry.

Properties
Energy of formation from the pure elements   104 meV per atom
Excess energy over the best structure of this formula in the dataset   0.000 eV/atom
Raw total energy   -5.680 eV per atom

a b c (Å): 6.540 9.136 11.817
angles (deg): 68.13 83.80 70.29
Element x y z (fractional)
Sm  0.042  0.183  0.485
Sm  0.958  0.817  0.515
Y  0.054  0.525  0.789
Y  0.069  0.786  0.950
Y  0.143  0.147  0.769
Y  0.305  0.973  0.300
Y  0.392  0.629  0.217
Y  0.393  0.808  0.650
Y  0.607  0.192  0.350
Y  0.608  0.371  0.783
Y  0.695  0.027  0.700
Y  0.857  0.853  0.231
Y  0.931  0.214  0.050
Y  0.946  0.475  0.211
Ho  0.286  0.437  0.523
Ho  0.376  0.353  0.061
Ho  0.500  0.000  0.000
Ho  0.624  0.647  0.939
Ho  0.714  0.563  0.477

The lowest raw total energy belongs to which entry?
Sm2Y7Ho

The highest energy of formation from the pure elements belongs to which entry?
SmY7Ho4

Which value of energy of formation from the pure elements does entry 3 give?
206 meV per atom

Please write out number 5 again, unchanged.
The following is a DFT calculation (PBE) of crystalline Sm4Y2Ho5 at its relaxed geometry.

Properties
Energy of formation from the pure elements   103 meV per atom
Excess energy over the best structure of this formula in the dataset   0.085 eV/atom
Raw total energy   -4.869 eV per atom

a b c (Å): 10.008 10.008 6.577
angles (deg): 91.36 91.36 32.81
Element x y z (fractional)
Sm  0.021  0.021  0.285
Sm  0.304  0.304  0.927
Sm  0.696  0.696  0.073
Sm  0.979  0.979  0.715
Y  0.402  0.402  0.448
Y  0.598  0.598  0.552
Ho  0.130  0.130  0.894
Ho  0.208  0.208  0.402
Ho  0.500  0.500  0.000
Ho  0.792  0.792  0.598
Ho  0.870  0.870  0.106